(i)
This record from Alexandria via LeMat-Bulk describes a relaxed structure of CuSbBr. The functional is PBE.

- Symmetry: Fmm2
- Total magnetization: 0.00 μB per formula unit

Unit cell a=7.696 b=7.249 c=3.612 alpha=83.02 beta=69.21 gamma=27.77
Fractional coordinates of all 3 atoms:
Sb1 0.705 0.705 0.295
Br1 0.956 0.956 0.044
Cu1 0.340 0.340 0.660



(ii)
This record from Alexandria via LeMat-Bulk describes a relaxed structure of CuSbBr. The functional is PBE.

- Symmetry: P3m1
- Total magnetization: 0.00 μB per formula unit

Unit cell a=3.543 b=3.543 c=7.157 alpha=90.00 beta=90.00 gamma=120.00
Fractional coordinates of all 3 atoms:
Br1 0.000 0.000 0.111
Cu1 0.667 0.333 0.317
Sb1 0.333 0.667 0.572



Energetically preferred structure: (ii) | next structure: +0.043 eV/atom



(i)
This record from Alexandria via LeMat-Bulk describes a relaxed structure of CuSbSe2Br. The functional is PBE.

- Symmetry: P2_1/m
- Total magnetization: 0.00 μB per formula unit

Unit cell a=4.134 b=6.933 c=10.843 alpha=71.33 beta=90.00 gamma=90.00
Fractional coordinates of all 10 atoms:
Br1 0.250 0.968 0.188
Br2 0.750 0.032 0.812
Se1 0.250 0.467 0.897
Se2 0.250 0.367 0.382
Se3 0.750 0.633 0.618
Se4 0.750 0.533 0.103
Sb1 0.250 0.349 0.679
Sb2 0.750 0.651 0.321
Cu1 0.250 0.347 0.152
Cu2 0.750 0.653 0.848



(ii)
This record from Alexandria via LeMat-Bulk describes a relaxed structure of CuSbSe2Br. The functional is PBE.

- Symmetry: P4/mmm
- Total magnetization: 0.00 μB per formula unit

Unit cell a=4.923 b=4.923 c=4.748 alpha=90.00 beta=90.00 gamma=90.00
Fractional coordinates of all 5 atoms:
Se1 0.000 0.500 0.000
Se2 0.500 0.000 0.000
Sb1 0.500 0.500 0.500
Cu1 0.000 0.000 0.000
Br1 0.000 0.000 0.500



Energetically preferred structure: (i) | next structure: +0.469 eV/atom